Record 1
FeTc2Br | PBE | optimized geometry

Cell lengths 5.212, 5.212, 5.212 Å; angles 147.05, 129.90, 61.28 degrees
Site moments in Bohr magnetons follow the coordinates.
Positions (direct):
Br 0.501 0.501 0.000  0.01
Tc 0.738 0.238 0.500  -0.05
Tc 0.997 0.997 0.000  -0.13
Fe 0.265 0.765 0.500  2.37

Output
As for the symmetry: Imm2, No. 44. As for the total energy: -6.942 eV/atom. The relative energy among the computed polymorphs comes out at 348 meV per atom. Its density of states at the Fermi level is 0.98 states/eV/atom. The calculation puts the uncorrected formation energy at 775 meV per atom.

=====

Record 2
HoTm2Cu2 | PBE | optimized geometry

Cell lengths 3.452, 5.011, 12.939 Å; angles 90.00, 97.64, 90.00 degrees
Positions (direct):
Tm 0.953 0.250 0.907
Tm 0.230 0.750 0.459
Tm 0.770 0.250 0.541
Tm 0.047 0.750 0.093
Ho 0.857 0.750 0.717
Ho 0.143 0.250 0.283
Cu 0.454 0.750 0.909
Cu 0.358 0.250 0.720
Cu 0.546 0.250 0.091
Cu 0.642 0.750 0.280

Output
As for the symmetry: P2_1/m, No. 11. As for the total energy: -4.536 eV/atom. The relative energy among the computed polymorphs comes out at 0 meV per atom. Its density of states at the Fermi level is 0.79 states/eV/atom.

=====

Record 3
LiPr4Cu2 | PBE | optimized geometry

Cell lengths 5.119, 5.119, 8.994 Å; angles 73.47, 73.47, 60.00 degrees
Positions (direct):
Pr 0.712 0.712 0.865
Pr 0.288 0.288 0.135
Pr 0.122 0.122 0.633
Pr 0.878 0.878 0.367
Cu 0.594 0.594 0.217
Cu 0.406 0.406 0.783
Li 0.500 0.500 0.500

Output
As for the symmetry: R-3m, No. 166. As for the total energy: -4.109 eV/atom. Its density of states at the Fermi level is 1.18 states/eV/atom.

=====

Record 4
Li4AlAg3 | PBE | optimized geometry

Cell lengths 3.227, 3.227, 12.074 Å; angles 90.00, 90.00, 90.00 degrees
Positions (direct):
Li 0.000 0.000 0.870
Li 0.000 0.000 0.375
Li 0.000 0.000 0.625
Li 0.000 0.000 0.130
Ag 0.500 0.500 0.500
Ag 0.500 0.500 0.752
Ag 0.500 0.500 0.248
Al 0.500 0.500 0.000

Output
As for the symmetry: P4/mmm, No. 123. As for the total energy: -2.685 eV/atom. The relative energy among the computed polymorphs comes out at 0 meV per atom. Its density of states at the Fermi level is 0.21 states/eV/atom.

=====

Record 5
Hf2Tc2Hg | PBE | optimized geometry

Cell lengths 7.409, 7.409, 3.431 Å; angles 90.00, 90.00, 90.00 degrees
Positions (direct):
Hf 0.657 0.843 0.500
Hf 0.343 0.157 0.500
Hf 0.157 0.657 0.500
Hf 0.843 0.343 0.500
Hg 0.000 0.000 0.000
Hg 0.500 0.500 0.000
Tc 0.641 0.141 0.000
Tc 0.859 0.641 0.000
Tc 0.141 0.359 0.000
Tc 0.359 0.859 0.000

Output
As for the symmetry: P4/mbm, No. 127. As for the total energy: -8.219 eV/atom. Its density of states at the Fermi level is 0.71 states/eV/atom.

=====

Record 6
TiSbS2N | PBE | optimized geometry

Cell lengths 5.026, 5.026, 3.856 Å; angles 90.00, 90.00, 90.00 degrees
Positions (direct):
S 0.000 0.500 0.000
S 0.500 0.000 0.000
Sb 0.000 0.000 0.000
Ti 0.500 0.500 0.500
N 0.000 0.000 0.500

Output
As for the symmetry: P4/mmm, No. 123. As for the total energy: -4.976 eV/atom. The relative energy among the computed polymorphs comes out at 914 meV per atom. Its density of states at the Fermi level is 1.60 states/eV/atom. The calculation puts the uncorrected formation energy at 743 meV per atom.

=====

Record 7
PrEr3Sc7 | PBE | optimized geometry

Cell lengths 5.452, 7.990, 7.990 Å; angles 82.16, 110.02, 110.02 degrees
Positions (direct):
Sc 0.718 0.408 0.028
Sc 0.718 0.028 0.408
Sc 0.282 0.972 0.592
Sc 0.792 0.793 0.793
Sc 0.282 0.592 0.972
Sc 0.208 0.207 0.207
Sc 0.000 0.500 0.500
Er 0.000 0.208 0.792
Er 0.500 0.000 0.000
Er 0.000 0.792 0.208
Pr 0.500 0.500 0.500

Output
As for the symmetry: C2/m, No. 12. As for the total energy: -5.423 eV/atom. Its density of states at the Fermi level is 1.71 states/eV/atom.

=====

Record 8
BaCu2C2 | PBE | optimized geometry

Cell lengths 7.240, 7.240, 3.638 Å; angles 90.00, 90.00, 90.00 degrees
Positions (direct):
C 0.565 0.935 0.500
C 0.935 0.435 0.500
C 0.065 0.565 0.500
C 0.435 0.065 0.500
Cu 0.112 0.388 0.000
Cu 0.612 0.112 0.000
Cu 0.388 0.888 0.000
Cu 0.888 0.612 0.000
Ba 0.500 0.500 0.000
Ba 0.000 0.000 0.000

Output
As for the symmetry: P4/mbm, No. 127. As for the total energy: -4.557 eV/atom. The relative energy among the computed polymorphs comes out at 273 meV per atom. Its density of states at the Fermi level is 0.65 states/eV/atom.

=====

Record 9
KMgRu3 | PBE | optimized geometry

Cell lengths 4.834, 4.834, 4.834 Å; angles 90.00, 90.00, 90.00 degrees
Site moments in Bohr magnetons follow the coordinates.
Positions (direct):
Mg 0.000 0.000 0.000  -0.04
K 0.500 0.500 0.500  0.00
Ru 0.000 0.500 0.000  1.86
Ru 0.000 0.000 0.500  2.02
Ru 0.500 0.000 0.000  1.45

Output
As for the symmetry: Pm-3m, No. 221. As for the total energy: -4.281 eV/atom. The relative energy among the computed polymorphs comes out at 0 meV per atom. Its density of states at the Fermi level is 1.77 states/eV/atom.

=====

Record 10
NaTaIO2 | PBE | optimized geometry

Cell lengths 4.154, 4.154, 4.988 Å; angles 90.00, 90.00, 90.00 degrees
Positions (direct):
I 0.000 0.000 0.500
Ta 0.500 0.500 0.500
O 0.500 0.000 0.000
O 0.000 0.500 0.000
Na 0.000 0.000 0.000

Output
As for the symmetry: P4/mmm, No. 123. As for the total energy: -4.042 eV/atom. The relative energy among the computed polymorphs comes out at 2509 meV per atom. Its density of states at the Fermi level is 1.67 states/eV/atom. The calculation puts the uncorrected formation energy at 885 meV per atom.

=====

Record 11
Cu2GeN | PBE | optimized geometry

Cell lengths 4.084, 4.084, 4.084 Å; angles 60.00, 60.00, 60.00 degrees
Positions (direct):
N 0.000 0.000 0.000
Cu 0.250 0.250 0.250
Cu 0.750 0.750 0.750
Ge 0.500 0.500 0.500

Output
As for the symmetry: Fm-3m, No. 225. As for the total energy: -4.421 eV/atom. The relative energy among the computed polymorphs comes out at 334 meV per atom. Its density of states at the Fermi level is 0.28 states/eV/atom. The calculation puts the uncorrected formation energy at 863 meV per atom.

=====

Record 12
ScTeCl2 | PBE | optimized geometry

Cell lengths 3.435, 6.966, 6.963 Å; angles 50.78, 90.00, 90.00 degrees
Positions (direct):
Te 0.500 0.750 0.750
Cl 0.000 0.109 0.109
Cl 0.000 0.391 0.391
Sc 0.500 0.250 0.250

Output
As for the symmetry: Cmmm, No. 65. As for the total energy: -4.771 eV/atom. The relative energy among the computed polymorphs comes out at 30 meV per atom. Its density of states at the Fermi level is 0.90 states/eV/atom. The calculation puts the uncorrected formation energy at -1480 meV per atom.

=====

Record 13
CePmMgBi | PBE | optimized geometry

Cell lengths 5.512, 5.512, 5.512 Å; angles 60.00, 60.00, 60.00 degrees
Site moments in Bohr magnetons follow the coordinates.
Positions (direct):
Mg 0.000 0.000 0.000  0.00
Ce 0.250 0.250 0.250  0.96
Pm 0.750 0.750 0.750  0.17
Bi 0.500 0.500 0.500  0.00

Output
As for the symmetry: F-43m, No. 216. As for the total energy: -4.336 eV/atom. Its density of states at the Fermi level is 2.49 states/eV/atom.

=====

Record 14
MnHPtS | PBE | optimized geometry

Cell lengths 2.811, 3.869, 4.629 Å; angles 103.27, 90.39, 111.23 degrees
Site moments in Bohr magnetons follow the coordinates.
Positions (direct):
Mn 0.319 0.214 0.307  0.71
Pt 0.110 0.808 0.719  -0.01
H 0.776 0.112 0.538  -0.01
S 0.996 0.572 0.139  -0.04

Output
As for the symmetry: P1, No. 1. As for the total energy: -5.696 eV/atom. The relative energy among the computed polymorphs comes out at 82 meV per atom. Its density of states at the Fermi level is 0.55 states/eV/atom.

=====

Record 15
AgOsPb | PBE | optimized geometry

Cell lengths 7.931, 7.692, 2.978 Å; angles 83.56, 74.53, 21.91 degrees
Site moments in Bohr magnetons follow the coordinates.
Positions (direct):
Os 0.664 0.664 0.336  1.01
Ag 0.013 0.013 0.987  0.03
Pb 0.323 0.323 0.677  0.01

Output
As for the symmetry: Fmm2, No. 42. As for the total energy: -4.953 eV/atom. The relative energy among the computed polymorphs comes out at 64 meV per atom. Its density of states at the Fermi level is 0.74 states/eV/atom.

=====

Record 16
MgCuNi3 | PBE | optimized geometry

Cell lengths 4.314, 4.314, 4.314 Å; angles 90.00, 90.00, 90.00 degrees
Positions (direct):
Ni 0.000 0.000 0.500
Ni 0.500 0.000 0.000
Ni 0.000 0.500 0.000
Cu 0.000 0.000 0.000
Mg 0.500 0.500 0.500

Output
As for the symmetry: Pm-3m, No. 221. As for the total energy: -3.882 eV/atom. The relative energy among the computed polymorphs comes out at 0 meV per atom. Its density of states at the Fermi level is 1.05 states/eV/atom.

=====

Record 17
BaTe3 | PBE | optimized geometry

Cell lengths 6.590, 6.590, 4.939 Å; angles 87.95, 87.95, 43.00 degrees
Positions (direct):
Te 0.729 0.729 0.750
Te 0.500 0.500 0.500
Te 0.271 0.271 0.250
Ba 0.000 0.000 0.000

Output
As for the symmetry: C2/m, No. 12. As for the total energy: -3.580 eV/atom. Its density of states at the Fermi level is 0.41 states/eV/atom. The calculation puts the uncorrected formation energy at -743 meV per atom.

=====

Record 18
LaNdPtAu | PBE | optimized geometry

Cell lengths 3.959, 4.765, 5.870 Å; angles 90.00, 109.71, 90.00 degrees
Positions (direct):
Pt 0.411 0.000 0.821
Au 0.587 0.500 0.173
La 0.138 0.000 0.276
Nd 0.865 0.500 0.729

Output
As for the symmetry: Amm2, No. 38. As for the total energy: -5.736 eV/atom. The relative energy among the computed polymorphs comes out at 0 meV per atom. Its density of states at the Fermi level is 0.78 states/eV/atom.

=====

Record 19
BaScAgCl6 | PBE | optimized geometry

Cell lengths 6.925, 6.925, 13.120 Å; angles 90.00, 90.00, 120.00 degrees
Positions (direct):
Cl 0.620 0.970 0.861
Cl 0.970 0.350 0.139
Cl 0.650 0.030 0.361
Cl 0.970 0.620 0.361
Cl 0.030 0.650 0.861
Cl 0.030 0.380 0.639
Cl 0.620 0.650 0.639
Cl 0.380 0.350 0.361
Cl 0.380 0.030 0.139
Cl 0.350 0.380 0.861
Cl 0.650 0.620 0.139
Cl 0.350 0.970 0.639
Sc 0.333 0.667 0.750
Sc 0.667 0.333 0.250
Ba 0.000 0.000 0.000
Ba 0.000 0.000 0.500
Ag 0.333 0.667 0.250
Ag 0.667 0.333 0.750

Output
As for the symmetry: P-31c, No. 163. As for the total energy: -4.328 eV/atom. Its density of states at the Fermi level is 0.00 states/eV/atom. The calculation puts the uncorrected formation energy at -1863 meV per atom.

=====

Record 20
U2GeH | PBE | optimized geometry

Cell lengths 2.936, 2.936, 8.690 Å; angles 80.28, 80.28, 60.00 degrees
Positions (direct):
U 0.731 0.731 0.807
U 0.269 0.269 0.193
Ge 0.500 0.500 0.500
H 0.000 0.000 0.000

Output
As for the symmetry: R-3m, No. 166. As for the total energy: -7.644 eV/atom. Its density of states at the Fermi level is 1.99 states/eV/atom.